Version A
Material: LuTiPd2
Method: DFT, PBE-GGA
State: optimized geometry

Structure (CIF):
```
data_LuTiPd2
_chemical_formula_sum 'Lu1 Ti1 Pd2'
_space_group_name_H-M_alt 'P 1'
_space_group_IT_number 1
_cell_length_a 5.023
_cell_length_b 5.023
_cell_length_c 5.023
_cell_angle_alpha 53.23
_cell_angle_beta 53.23
_cell_angle_gamma 53.23
loop_
_space_group_symop_operation_xyz
'x,y,z'
loop_
_atom_site_label
_atom_site_type_symbol
_atom_site_fract_x
_atom_site_fract_y
_atom_site_fract_z
Lu1 Lu 0.000 0.000 0.000
Ti1 Ti 0.500 0.500 0.500
Pd1 Pd 0.221 0.221 0.221
Pd2 Pd 0.779 0.779 0.779
```

Version B
Material: LuTiPd2
Method: DFT, PBE-GGA
State: optimized geometry

Structure (CIF):
```
data_LuTiPd2
_chemical_formula_sum 'Lu1 Ti1 Pd2'
_space_group_name_H-M_alt 'P 1'
_space_group_IT_number 1
_cell_length_a 3.254
_cell_length_b 3.254
_cell_length_c 6.844
_cell_angle_alpha 90.00
_cell_angle_beta 90.00
_cell_angle_gamma 90.00
loop_
_space_group_symop_operation_xyz
'x,y,z'
loop_
_atom_site_label
_atom_site_type_symbol
_atom_site_fract_x
_atom_site_fract_y
_atom_site_fract_z
Lu1 Lu 0.000 0.000 0.000
Ti1 Ti 0.000 0.000 0.500
Pd1 Pd 0.500 0.500 0.284
Pd2 Pd 0.500 0.500 0.716
```

So which one is most stable? That would be version B, about 24 meV per atom below the next structure.

Version A
Material: TmLu2Pd
Method: DFT, PBE-GGA
State: optimized geometry

Structure (CIF):
```
data_TmLu2Pd
_chemical_formula_sum 'Tm1 Lu2 Pd1'
_space_group_name_H-M_alt 'P 1'
_space_group_IT_number 1
_cell_length_a 3.498
_cell_length_b 3.498
_cell_length_c 8.215
_cell_angle_alpha 90.00
_cell_angle_beta 90.00
_cell_angle_gamma 90.00
loop_
_space_group_symop_operation_xyz
'x,y,z'
loop_
_atom_site_label
_atom_site_type_symbol
_atom_site_fract_x
_atom_site_fract_y
_atom_site_fract_z
Tm1 Tm 0.000 0.000 0.000
Lu1 Lu 0.500 0.500 0.299
Lu2 Lu 0.500 0.500 0.701
Pd1 Pd 0.000 0.000 0.500
```

Version B
Material: TmLu2Pd
Method: DFT, PBE-GGA
State: optimized geometry

Structure (CIF):
```
data_TmLu2Pd
_chemical_formula_sum 'Tm1 Lu2 Pd1'
_space_group_name_H-M_alt 'P 1'
_space_group_IT_number 1
_cell_length_a 10.769
_cell_length_b 10.769
_cell_length_c 10.769
_cell_angle_alpha 18.53
_cell_angle_beta 18.53
_cell_angle_gamma 18.53
loop_
_space_group_symop_operation_xyz
'x,y,z'
loop_
_atom_site_label
_atom_site_type_symbol
_atom_site_fract_x
_atom_site_fract_y
_atom_site_fract_z
Tm1 Tm 0.000 0.000 0.000
Lu1 Lu 0.105 0.105 0.105
Lu2 Lu 0.895 0.895 0.895
Pd1 Pd 0.500 0.500 0.500
```

So which one is most stable? That would be version A, about 333 meV per atom below the next structure.

Version A
Material: Lu2ZnPd
Method: DFT, PBE-GGA
State: optimized geometry

Structure (CIF):
```
data_Lu2ZnPd
_chemical_formula_sum 'Lu2 Zn1 Pd1'
_space_group_name_H-M_alt 'P 1'
_space_group_IT_number 1
_cell_length_a 9.321
_cell_length_b 9.321
_cell_length_c 9.321
_cell_angle_alpha 24.48
_cell_angle_beta 24.48
_cell_angle_gamma 24.48
loop_
_space_group_symop_operation_xyz
'x,y,z'
loop_
_atom_site_label
_atom_site_type_symbol
_atom_site_fract_x
_atom_site_fract_y
_atom_site_fract_z
Lu1 Lu 0.111 0.111 0.111
Lu2 Lu 0.889 0.889 0.889
Zn1 Zn 0.000 0.000 0.000
Pd1 Pd 0.500 0.500 0.500
```

Version B
Material: Lu2ZnPd
Method: DFT, PBE-GGA
State: optimized geometry

Structure (CIF):
```
data_Lu2ZnPd
_chemical_formula_sum 'Lu2 Zn1 Pd1'
_space_group_name_H-M_alt 'P 1'
_space_group_IT_number 1
_cell_length_a 4.900
_cell_length_b 4.900
_cell_length_c 4.900
_cell_angle_alpha 60.00
_cell_angle_beta 60.00
_cell_angle_gamma 60.00
loop_
_space_group_symop_operation_xyz
'x,y,z'
loop_
_atom_site_label
_atom_site_type_symbol
_atom_site_fract_x
_atom_site_fract_y
_atom_site_fract_z
Lu1 Lu 0.250 0.250 0.250
Lu2 Lu 0.750 0.750 0.750
Zn1 Zn 0.000 0.000 0.000
Pd1 Pd 0.500 0.500 0.500
```

Version C
Material: Lu2ZnPd
Method: DFT, PBE-GGA
State: optimized geometry

Structure (CIF):
```
data_Lu2ZnPd
_chemical_formula_sum 'Lu2 Zn1 Pd1'
_space_group_name_H-M_alt 'P 1'
_space_group_IT_number 1
_cell_length_a 3.474
_cell_length_b 3.474
_cell_length_c 6.862
_cell_angle_alpha 90.00
_cell_angle_beta 90.00
_cell_angle_gamma 90.00
loop_
_space_group_symop_operation_xyz
'x,y,z'
loop_
_atom_site_label
_atom_site_type_symbol
_atom_site_fract_x
_atom_site_fract_y
_atom_site_fract_z
Lu1 Lu 0.000 0.000 0.246
Lu2 Lu 0.000 0.000 0.754
Zn1 Zn 0.500 0.500 0.500
Pd1 Pd 0.500 0.500 0.000
```

So which one is most stable? That would be version C, about 19 meV per atom below the next structure.

Version A
Material: PmLu3
Method: DFT, PBE-GGA
State: optimized geometry

Structure (CIF):
```
data_PmLu3
_chemical_formula_sum 'Pm1 Lu3'
_space_group_name_H-M_alt 'P 1'
_space_group_IT_number 1
_cell_length_a 4.960
_cell_length_b 4.960
_cell_length_c 4.960
_cell_angle_alpha 90.00
_cell_angle_beta 90.00
_cell_angle_gamma 90.00
loop_
_space_group_symop_operation_xyz
'x,y,z'
loop_
_atom_site_label
_atom_site_type_symbol
_atom_site_fract_x
_atom_site_fract_y
_atom_site_fract_z
Pm1 Pm 0.000 0.000 0.000
Lu1 Lu 0.000 0.500 0.500
Lu2 Lu 0.500 0.000 0.500
Lu3 Lu 0.500 0.500 0.000
```

Version B
Material: PmLu3
Method: DFT, PBE-GGA
State: optimized geometry

Structure (CIF):
```
data_PmLu3
_chemical_formula_sum 'Pm1 Lu3'
_space_group_name_H-M_alt 'P 1'
_space_group_IT_number 1
_cell_length_a 3.577
_cell_length_b 5.567
_cell_length_c 6.188
_cell_angle_alpha 90.00
_cell_angle_beta 90.00
_cell_angle_gamma 90.00
loop_
_space_group_symop_operation_xyz
'x,y,z'
loop_
_atom_site_label
_atom_site_type_symbol
_atom_site_fract_x
_atom_site_fract_y
_atom_site_fract_z
Pm1 Pm 0.000 0.000 0.000
Lu1 Lu 0.000 0.500 0.663
Lu2 Lu 0.500 0.000 0.497
Lu3 Lu 0.500 0.500 0.167
```

Version C
Material: PmLu3
Method: DFT, PBE-GGA
State: optimized geometry

Structure (CIF):
```
data_PmLu3
_chemical_formula_sum 'Pm2 Lu6'
_space_group_name_H-M_alt 'P 1'
_space_group_IT_number 1
_cell_length_a 7.126
_cell_length_b 7.126
_cell_length_c 5.593
_cell_angle_alpha 90.00
_cell_angle_beta 90.00
_cell_angle_gamma 120.00
loop_
_space_group_symop_operation_xyz
'x,y,z'
loop_
_atom_site_label
_atom_site_type_symbol
_atom_site_fract_x
_atom_site_fract_y
_atom_site_fract_z
Pm1 Pm 0.333 0.667 0.250
Pm2 Pm 0.667 0.333 0.750
Lu1 Lu 0.165 0.330 0.750
Lu2 Lu 0.165 0.835 0.750
Lu3 Lu 0.330 0.165 0.250
Lu4 Lu 0.670 0.835 0.750
Lu5 Lu 0.835 0.165 0.250
Lu6 Lu 0.835 0.670 0.250
```

Version D
Material: PmLu3
Method: DFT, PBE-GGA
State: optimized geometry

Structure (CIF):
```
data_PmLu3
_chemical_formula_sum 'Pm1 Lu3'
_space_group_name_H-M_alt 'P 1'
_space_group_IT_number 1
_cell_length_a 5.586
_cell_length_b 5.586
_cell_length_c 5.586
_cell_angle_alpha 60.00
_cell_angle_beta 60.00
_cell_angle_gamma 60.00
loop_
_space_group_symop_operation_xyz
'x,y,z'
loop_
_atom_site_label
_atom_site_type_symbol
_atom_site_fract_x
_atom_site_fract_y
_atom_site_fract_z
Pm1 Pm 0.000 0.000 0.000
Lu1 Lu 0.250 0.250 0.250
Lu2 Lu 0.500 0.500 0.500
Lu3 Lu 0.750 0.750 0.750
```

So which one is most stable? That would be version C, about 7 meV per atom below the next structure.